Computed, not measured: a relaxed MnTl2Se crystal at the PBE level of DFT.

Cell lengths 6.560, 6.560, 6.560 Å; angles 102.53, 102.53, 124.47 degrees
Sites, in units of the cell vectors:
Mn: 0.000 0.000 0.000
Mn: 0.750 0.250 0.500
Tl: 0.114 0.625 0.989
Tl: 0.375 0.364 0.489
Tl: 0.636 0.125 0.011
Tl: 0.875 0.886 0.511
Se: 0.250 0.750 0.500
Se: 0.500 0.500 0.000

Summary:
- Formation energy without anion corrections: 5.27 kcal/mol of atoms
- Calculated volume: 103 Å³/f.u.
- SG: I-42d
- Crystal system: tetragonal
- Final energy: -0.3027 Ry per atom

Computed, not measured: a relaxed OsSeN3 crystal at the PBE level of DFT.

Cell lengths 3.895, 3.895, 3.895 Å; angles 90.00, 90.00, 90.00 degrees
Sites, in units of the cell vectors:
Os: 0.000 0.000 0.000
Se: 0.500 0.500 0.500
N: 0.000 0.000 0.500
N: 0.000 0.500 0.000
N: 0.500 0.000 0.000

Summary:
- Formation energy without anion corrections: 32.67 kcal/mol of atoms
- Calculated volume: 59 Å³/f.u.
- SG: Pm-3m
- Crystal system: cubic
- Final energy: -0.4793 Ry per atom

Computed, not measured: a relaxed AcNd2Sm5Dy crystal at the PBE level of DFT.

Cell lengths 10.151, 10.151, 10.151 Å; angles 127.60, 127.60, 77.27 degrees
Sites, in units of the cell vectors:
Ac: 0.250 0.250 0.000
Ac: 0.750 0.750 0.000
Nd: 0.117 0.617 0.734
Nd: 0.383 0.117 0.500
Nd: 0.617 0.883 0.500
Nd: 0.883 0.383 0.266
Sm: 0.000 0.000 0.000
Sm: 0.072 0.161 0.500
Sm: 0.161 0.661 0.089
Sm: 0.339 0.428 0.500
Sm: 0.428 0.928 0.089
Sm: 0.500 0.500 0.000
Sm: 0.572 0.072 0.911
Sm: 0.661 0.572 0.500
Sm: 0.839 0.339 0.911
Sm: 0.928 0.839 0.500
Dy: 0.250 0.750 0.500
Dy: 0.750 0.250 0.500

Summary:
- Calculated volume: 318 Å³/f.u.
- SG: I4/mcm
- Crystal system: tetragonal
- ΔH_f (0 K): 0.25 eV/atom
- Final energy: -0.3230 Ry per atom

Computed, not measured: a relaxed TlCuAgS2 crystal at the PBE level of DFT.

Cell lengths 6.896, 6.896, 9.972 Å; angles 122.11, 122.11, 33.63 degrees
Sites, in units of the cell vectors:
Tl: 0.174 0.174 0.132
Tl: 0.826 0.826 0.868
Cu: 0.054 0.054 0.703
Cu: 0.946 0.946 0.297
Ag: 0.360 0.360 0.610
Ag: 0.640 0.640 0.390
S: 0.148 0.148 0.567
S: 0.416 0.416 0.162
S: 0.584 0.584 0.838
S: 0.852 0.852 0.433

Summary:
- Formation energy without anion corrections: -3.15 kcal/mol of atoms
- Calculated volume: 109 Å³/f.u.
- SG: C2/m
- Crystal system: monoclinic
- Final energy: -0.2683 Ry per atom

Computed, not measured: a relaxed ZnAgAs3 crystal at the PBE level of DFT.

Cell lengths 4.855, 4.855, 4.855 Å; angles 90.00, 90.00, 90.00 degrees
Sites, in units of the cell vectors:
Zn: 0.000 0.000 0.000
Ag: 0.500 0.500 0.500
As: 0.000 0.000 0.500
As: 0.000 0.500 0.000
As: 0.500 0.000 0.000

Summary:
- Calculated volume: 114 Å³/f.u.
- SG: Pm-3m
- Crystal system: cubic
- ΔH_f (0 K): 0.76 eV/atom
- Final energy: -0.2097 Ry per atom

Computed, not measured: a relaxed Cu2PtI8 crystal at the PBE level of DFT.

Cell lengths 8.383, 8.383, 6.867 Å; angles 91.22, 91.22, 62.54 degrees
Sites, in units of the cell vectors:
Cu: 0.167 0.167 0.432
Cu: 0.833 0.833 0.568
Pt: 0.000 0.000 0.000
I: 0.138 0.706 0.759
I: 0.164 0.164 0.808
I: 0.294 0.862 0.241
I: 0.344 0.344 0.424
I: 0.656 0.656 0.576
I: 0.706 0.138 0.759
I: 0.836 0.836 0.192
I: 0.862 0.294 0.241

Summary:
- Formation energy without anion corrections: -1.80 kcal/mol of atoms
- Calculated volume: 428 Å³/f.u.
- SG: C2/m
- Crystal system: monoclinic
- Final energy: -0.1837 Ry per atom

Computed, not measured: a relaxed Tl12In2Ga crystal at the PBE level of DFT.

Cell lengths 6.724, 6.724, 21.850 Å; angles 90.00, 90.00, 90.00 degrees
Sites, in units of the cell vectors:
Tl: 0.002 0.502 0.085
Tl: 0.002 0.998 0.915
Tl: 0.079 0.579 0.433
Tl: 0.079 0.921 0.567
Tl: 0.250 0.250 0.191
Tl: 0.250 0.250 0.331
Tl: 0.250 0.250 0.669
Tl: 0.250 0.250 0.809
Tl: 0.421 0.579 0.567
Tl: 0.421 0.921 0.433
Tl: 0.498 0.502 0.915
Tl: 0.498 0.998 0.085
Tl: 0.502 0.002 0.915
Tl: 0.502 0.498 0.085
Tl: 0.579 0.079 0.567
Tl: 0.579 0.421 0.433
Tl: 0.750 0.750 0.191
Tl: 0.750 0.750 0.331
Tl: 0.750 0.750 0.669
Tl: 0.750 0.750 0.809
Tl: 0.921 0.079 0.433
Tl: 0.921 0.421 0.567
Tl: 0.998 0.002 0.085
Tl: 0.998 0.498 0.915
In: 0.250 0.750 0.219
In: 0.250 0.750 0.781
In: 0.750 0.250 0.219
In: 0.750 0.250 0.781
Ga: 0.250 0.750 0.000
Ga: 0.750 0.250 0.000

Summary:
- Calculated volume: 494 Å³/f.u.
- SG: P4/nbm
- Crystal system: tetragonal
- ΔH_f (0 K): 0.13 eV/atom
- Final energy: -0.1714 Ry per atom

Computed, not measured: a relaxed KSrSe2 crystal at the PBE level of DFT.

Cell lengths 5.441, 5.441, 5.441 Å; angles 60.00, 60.00, 60.00 degrees
Sites, in units of the cell vectors:
K: 0.000 0.000 0.000
Sr: 0.250 0.250 0.250
Se: 0.500 0.500 0.500
Se: 0.750 0.750 0.750

Summary:
- Formation energy without anion corrections: -16.09 kcal/mol of atoms
- Calculated volume: 114 Å³/f.u.
- SG: F-43m
- Crystal system: cubic
- Final energy: -0.2304 Ry per atom